(1)
GdHoSbI2: optimized geometry, PBE-GGA.

Output
VASP energy: -4.556 eV per atom
Magnetization: 0.003 μB per formula unit

Cell lengths 4.3395, 4.3395, 11.2102 Å; angles 90.00, 90.00, 120.00 degrees
Space group P3m1 (No. 156)
Symmetry-distinct sites (fractional):
1 Gd 0.0000 0.0000 0.0000 x1
2 Ho 0.3333 0.6667 0.3019 x1
3 Sb 0.6667 0.3333 0.1539 x1
4 I 0.0000 0.0000 0.4740 x1
5 I 0.3333 0.6667 0.8243 x1

(2)
Gd2Ho2SiI5: optimized geometry, PBE-GGA.

Output
VASP energy: -4.334 eV per atom
Magnetization: 0.004 μB per formula unit

Cell lengths 19.127, 4.193, 8.764 Å; angles 90.00, 102.78, 90.00 degrees
Space group C2/m (No. 12)
Symmetry-distinct sites (fractional):
1 Gd 0.146 0.000 0.074 x4
2 Ho 0.000 0.500 0.209 x4
3 Si 0.000 0.000 0.000 x2
4 I 0.000 0.000 0.500 x2
5 I 0.165 0.500 0.341 x4
6 I 0.170 0.500 0.823 x4

(3)
Gd2Ho2SiI5: optimized geometry, PBE-GGA.

Output
VASP energy: -4.337 eV per atom
Magnetization: 0.013 μB per formula unit

Cell lengths 19.142, 4.202, 8.855 Å; angles 90.00, 102.73, 90.00 degrees
Space group C2/m (No. 12)
Symmetry-distinct sites (fractional):
1 Gd 0.000 0.000 0.211 x4
2 Ho 0.144 0.500 0.073 x4
3 Si 0.000 0.500 0.000 x2
4 I 0.000 0.500 0.500 x2
5 I 0.168 0.000 0.332 x4
6 I 0.173 0.000 0.835 x4

(4)
GdHoIn6: optimized geometry, PBE-GGA.

Output
VASP energy: -3.561 eV per atom
Magnetization: 0.002 μB per formula unit

Cell lengths 6.6403, 6.6403, 5.2003 Å; angles 90.00, 90.00, 120.00 degrees
Space group P-6m2 (No. 187)
Symmetry-distinct sites (fractional):
1 Gd 0.0000 0.0000 0.0000 x1
2 Ho 0.3333 0.6667 0.5000 x1
3 In 0.3453 0.1726 0.5000 x3
4 In 0.5044 0.0087 0.0000 x3